# PBE-GGA KBe2Se, relaxed
data_KBe2Se
_chemical_formula_sum 'K3 Be6 Se3'
_cell_length_a 3.6574
_cell_length_b 3.6574
_cell_length_c 23.5926
_cell_angle_alpha 90.00
_cell_angle_beta 90.00
_cell_angle_gamma 120.00
_symmetry_space_group_name_H-M 'R -3 m'
_symmetry_Int_Tables_number 166
_symmetry_space_group_name_Hall '-R 3 2"'
loop_
_atom_site_label
_atom_site_fract_x
_atom_site_fract_y
_atom_site_fract_z
K1 0.0000 0.0000 0.0000
Be1 0.0000 0.0000 0.2180
Se1 0.0000 0.0000 0.5000
# D(E_F): 6.53 states/eV/cell
# Calculated density: 2.480 g/cm³
# E_form (uncorrected): 0.51 eV/atom
# V: 22.78 Å³ per atom
# Total moment: 1.3 Bohr magnetons per cell